(1)
This record from Alexandria via LeMat-Bulk describes a relaxed structure of Cd2HgSe2. The functional is PBE.

- V: 237 Å³ per cell
- Energy: -1.949 eV per atom
- Formation energy without anion corrections: -0.1288 eV per atom
- SG: No. 127

Unit cell a=8.0179 b=8.0179 c=3.6915 alpha=90.00 beta=90.00 gamma=90.00
Last column: nearest neighbours and their distance in Å.
Element x y z (fractional)
1 Cd 0.1428 0.3572 0.0000  6 Se 2.92-3.04, 2 Hg 3.08, 1 Cd 3.24
2 Cd 0.3572 0.8572 0.0000  6 Se 2.92-3.04, 2 Hg 3.08, 1 Cd 3.24
3 Cd 0.6428 0.1428 0.0000  6 Se 2.92-3.04, 2 Hg 3.08, 1 Cd 3.24
4 Cd 0.8572 0.6428 0.0000  6 Se 2.92-3.04, 2 Hg 3.08, 1 Cd 3.24
5 Hg 0.0000 0.0000 0.0000  4 Cd 3.08
6 Hg 0.5000 0.5000 0.0000  4 Cd 3.08
7 Se 0.1577 0.6577 0.5000  6 Cd 2.92-3.04
8 Se 0.3423 0.1577 0.5000  6 Cd 2.92-3.04
9 Se 0.6577 0.8423 0.5000  6 Cd 2.92-3.04
10 Se 0.8423 0.3423 0.5000  6 Cd 2.92-3.04

(2)
This record from Alexandria via LeMat-Bulk describes a relaxed structure of Cd2HgSe. The functional is PBE.

- V: 97 Å³ per cell
- Energy: -1.321 eV per atom
- Formation energy without anion corrections: 0.0836 eV per atom
- SG: No. 216

Unit cell a=5.1644 b=5.1644 c=5.1644 alpha=60.00 beta=60.00 gamma=60.00
Last column: nearest neighbours and their distance in Å.
Element x y z (fractional)
1 Cd 0.0000 0.0000 0.0000  4 Hg 3.16, 4 Cd 3.16
2 Cd 0.2500 0.2500 0.2500  4 Cd 3.16, 4 Se 3.16
3 Hg 0.7500 0.7500 0.7500  4 Cd 3.16, 4 Se 3.16
4 Se 0.5000 0.5000 0.5000  4 Hg 3.16, 4 Cd 3.16

(3)
This record from Alexandria via LeMat-Bulk describes a relaxed structure of CdHg3Se4. The functional is PBE.

- V: 244 Å³ per cell
- Energy: -2.283 eV per atom
- Formation energy without anion corrections: -0.3137 eV per atom
- SG: No. 121

Unit cell a=7.6554 b=7.6554 c=7.6554 alpha=131.88 beta=131.88 gamma=70.42
Last column: nearest neighbours and their distance in Å.
Element x y z (fractional)
1 Cd 0.0000 0.0000 0.0000  4 Se 2.69
2 Hg 0.2500 0.7500 0.5000  4 Se 2.71
3 Hg 0.5000 0.5000 0.0000  4 Se 2.71
4 Hg 0.7500 0.2500 0.5000  4 Se 2.71
5 Se 0.1241 0.1241 0.4967  1 Cd 2.69, 3 Hg 2.71
6 Se 0.3726 0.8759 0.0000  1 Cd 2.69, 3 Hg 2.71
7 Se 0.6274 0.6274 0.5033  1 Cd 2.69, 3 Hg 2.71
8 Se 0.8759 0.3726 0.0000  1 Cd 2.69, 3 Hg 2.71

(4)
This record from Alexandria via LeMat-Bulk describes a relaxed structure of Cd3Hg12Se5. The functional is PBE.

- V: 2331 Å³ per cell
- Energy: -1.223 eV per atom
- Formation energy without anion corrections: -0.0334 eV per atom
- SG: No. 230

Unit cell a=14.4678 b=14.4678 c=14.4678 alpha=109.47 beta=109.47 gamma=109.47
Last column: nearest neighbours and their distance in Å.
Element x y z (fractional)
1 Cd 0.1250 0.2500 0.3750  4 Hg 2.83
2 Cd 0.1250 0.3750 0.7500  4 Hg 2.83
3 Cd 0.2500 0.3750 0.1250  4 Hg 2.83
4 Cd 0.2500 0.8750 0.6250  4 Hg 2.83
5 Cd 0.3750 0.1250 0.2500  4 Hg 2.83
6 Cd 0.3750 0.7500 0.1250  4 Hg 2.83
7 Cd 0.6250 0.2500 0.8750  4 Hg 2.83
8 Cd 0.6250 0.8750 0.7500  4 Hg 2.83
9 Cd 0.7500 0.1250 0.3750  4 Hg 2.83
10 Cd 0.7500 0.6250 0.8750  4 Hg 2.83
11 Cd 0.8750 0.6250 0.2500  4 Hg 2.83
12 Cd 0.8750 0.7500 0.6250  4 Hg 2.83
13 Hg 0.0595 0.2350 0.1257  2 Se 2.75-2.91, 1 Cd 2.83
14 Hg 0.0595 0.3245 0.9338  2 Se 2.75-2.91, 1 Cd 2.83
15 Hg 0.0662 0.6257 0.3906  2 Se 2.75-2.91, 1 Cd 2.83
16 Hg 0.0662 0.9405 0.6755  2 Se 2.75-2.91, 1 Cd 2.83
17 Hg 0.1094 0.7350 0.6755  2 Se 2.75-2.91, 1 Cd 2.83
18 Hg 0.1094 0.8743 0.4338  2 Se 2.75-2.91, 1 Cd 2.83
19 Hg 0.1257 0.0595 0.2350  2 Se 2.75-2.91, 1 Cd 2.83
20 Hg 0.1257 0.5662 0.8906  2 Se 2.75-2.91, 1 Cd 2.83
21 Hg 0.1755 0.2350 0.6094  2 Se 2.75-2.91, 1 Cd 2.83
22 Hg 0.1755 0.4405 0.5662  2 Se 2.75-2.91, 1 Cd 2.83
23 Hg 0.2350 0.1257 0.0595  2 Se 2.75-2.91, 1 Cd 2.83
24 Hg 0.2350 0.6094 0.1755  2 Se 2.75-2.91, 1 Cd 2.83
25 Hg 0.2650 0.3245 0.8906  2 Se 2.75-2.91, 1 Cd 2.83
26 Hg 0.2650 0.4405 0.3743  2 Se 2.75-2.91, 1 Cd 2.83
27 Hg 0.3245 0.8906 0.2650  2 Se 2.75-2.91, 1 Cd 2.83
28 Hg 0.3245 0.9338 0.0595  2 Se 2.75-2.91, 1 Cd 2.83
29 Hg 0.3743 0.2650 0.4405  2 Se 2.75-2.91, 1 Cd 2.83
30 Hg 0.3743 0.6094 0.9338  2 Se 2.75-2.91, 1 Cd 2.83
31 Hg 0.3906 0.0662 0.6257  2 Se 2.75-2.91, 1 Cd 2.83
32 Hg 0.3906 0.8245 0.7650  2 Se 2.75-2.91, 1 Cd 2.83
33 Hg 0.4338 0.1094 0.8743  2 Se 2.75-2.91, 1 Cd 2.83
34 Hg 0.4338 0.8245 0.5595  2 Se 2.75-2.91, 1 Cd 2.83
35 Hg 0.4405 0.3743 0.2650  2 Se 2.75-2.91, 1 Cd 2.83
36 Hg 0.4405 0.5662 0.1755  2 Se 2.75-2.91, 1 Cd 2.83
37 Hg 0.5595 0.4338 0.8245  2 Se 2.75-2.91, 1 Cd 2.83
38 Hg 0.5595 0.6257 0.7350  2 Se 2.75-2.91, 1 Cd 2.83
39 Hg 0.5662 0.1755 0.4405  2 Se 2.75-2.91, 1 Cd 2.83
40 Hg 0.5662 0.8906 0.1257  2 Se 2.75-2.91, 1 Cd 2.83
41 Hg 0.6094 0.1755 0.2350  2 Se 2.75-2.91, 1 Cd 2.83
42 Hg 0.6094 0.9338 0.3743  2 Se 2.75-2.91, 1 Cd 2.83
43 Hg 0.6257 0.3906 0.0662  2 Se 2.75-2.91, 1 Cd 2.83
44 Hg 0.6257 0.7350 0.5595  2 Se 2.75-2.91, 1 Cd 2.83
45 Hg 0.6755 0.0662 0.9405  2 Se 2.75-2.91, 1 Cd 2.83
46 Hg 0.6755 0.1094 0.7350  2 Se 2.75-2.91, 1 Cd 2.83
47 Hg 0.7350 0.5595 0.6257  2 Se 2.75-2.91, 1 Cd 2.83
48 Hg 0.7350 0.6755 0.1094  2 Se 2.75-2.91, 1 Cd 2.83
49 Hg 0.7650 0.3906 0.8245  2 Se 2.75-2.91, 1 Cd 2.83
50 Hg 0.7650 0.8743 0.9405  2 Se 2.75-2.91, 1 Cd 2.83
51 Hg 0.8245 0.5595 0.4338  2 Se 2.75-2.91, 1 Cd 2.83
52 Hg 0.8245 0.7650 0.3906  2 Se 2.75-2.91, 1 Cd 2.83
53 Hg 0.8743 0.4338 0.1094  2 Se 2.75-2.91, 1 Cd 2.83
54 Hg 0.8743 0.9405 0.7650  2 Se 2.75-2.91, 1 Cd 2.83
55 Hg 0.8906 0.1257 0.5662  2 Se 2.75-2.91, 1 Cd 2.83
56 Hg 0.8906 0.2650 0.3245  2 Se 2.75-2.91, 1 Cd 2.83
57 Hg 0.9338 0.0595 0.3245  2 Se 2.75-2.91, 1 Cd 2.83
58 Hg 0.9338 0.3743 0.6094  2 Se 2.75-2.91, 1 Cd 2.83
59 Hg 0.9405 0.6755 0.0662  2 Se 2.75-2.91, 1 Cd 2.83
60 Hg 0.9405 0.7650 0.8743  2 Se 2.75-2.91, 1 Cd 2.83
61 Se 0.0000 0.0000 0.0000  6 Hg 2.91
62 Se 0.0000 0.0000 0.5000  6 Hg 2.91
63 Se 0.0000 0.5000 0.0000  6 Hg 2.91
64 Se 0.0000 0.5000 0.5000  6 Hg 2.91
65 Se 0.1250 0.7500 0.8750  4 Hg 2.75
66 Se 0.1250 0.8750 0.2500  4 Hg 2.75
67 Se 0.2500 0.1250 0.8750  4 Hg 2.75
68 Se 0.2500 0.6250 0.3750  4 Hg 2.75
69 Se 0.3750 0.2500 0.6250  4 Hg 2.75
70 Se 0.3750 0.6250 0.7500  4 Hg 2.75
71 Se 0.5000 0.0000 0.0000  6 Hg 2.91
72 Se 0.5000 0.0000 0.5000  6 Hg 2.91
73 Se 0.5000 0.5000 0.0000  6 Hg 2.91
74 Se 0.5000 0.5000 0.5000  6 Hg 2.91
75 Se 0.6250 0.3750 0.2500  4 Hg 2.75
76 Se 0.6250 0.7500 0.3750  4 Hg 2.75
77 Se 0.7500 0.3750 0.6250  4 Hg 2.75
78 Se 0.7500 0.8750 0.1250  4 Hg 2.75
79 Se 0.8750 0.1250 0.7500  4 Hg 2.75
80 Se 0.8750 0.2500 0.1250  4 Hg 2.75